Entry 1:
## HgBiHPb2 (PBE-GGA)

Data for an optimized crystal structure of HgBiHPb2.

Output
Total magnetic moment ... 0.00 μB/f.u.
Density ... 10.925 Mg/m³
DOS at the Fermi energy ... 2.3 states/eV/f.u.
Total energy ... -2.7761 eV per atom

Structure (CIF):
```
data_HgBiHPb2
_chemical_formula_sum 'Hg1 Bi1 H1 Pb2'
_space_group_name_H-M_alt 'P 4/m m m'
_space_group_IT_number 123
_space_group_name_Hall '-P 4 2'
_cell_length_a 4.9152
_cell_length_b 4.9152
_cell_length_c 5.1901
_cell_angle_alpha 90.00
_cell_angle_beta 90.00
_cell_angle_gamma 90.00
loop_
_atom_site_label
_atom_site_fract_x
_atom_site_fract_y
_atom_site_fract_z
Hg1 0.0000 0.0000 0.0000
Bi1 0.5000 0.5000 0.0000
H1 0.0000 0.0000 0.5000
Pb1 0.0000 0.5000 0.5000
```

=====

Entry 2:
## Hg2BiHPb (PBE-GGA)

Data for an optimized crystal structure of Hg2BiHPb.

Output
Total magnetic moment ... 0.00 μB/f.u.
Density ... 11.313 Mg/m³
DOS at the Fermi energy ... 2.3 states/eV/f.u.
Total energy ... -2.0595 eV per atom

Structure (CIF):
```
data_Hg2BiHPb
_chemical_formula_sum 'Hg2 Bi1 H1 Pb1'
_space_group_name_H-M_alt 'P 4/m m m'
_space_group_IT_number 123
_space_group_name_Hall '-P 4 2'
_cell_length_a 5.2387
_cell_length_b 5.2387
_cell_length_c 4.3771
_cell_angle_alpha 90.00
_cell_angle_beta 90.00
_cell_angle_gamma 90.00
loop_
_atom_site_label
_atom_site_fract_x
_atom_site_fract_y
_atom_site_fract_z
Hg1 0.0000 0.5000 0.0000
Bi1 0.0000 0.0000 0.5000
H1 0.0000 0.0000 0.0000
Pb1 0.5000 0.5000 0.5000
```

=====

Entry 3:
## HgBiH2Pd5 (PBE-GGA)

Data for an optimized crystal structure of HgBiH2Pd5.

Output
Total magnetic moment ... 0.00 μB/f.u.
Density ... 11.408 Mg/m³
DOS at the Fermi energy ... 3.6 states/eV/f.u.
Total energy ... -4.2428 eV per atom

Structure (CIF):
```
data_HgBiH2Pd5
_chemical_formula_sum 'Hg1 Bi1 H2 Pd5'
_space_group_name_H-M_alt 'P 4/m m m'
_space_group_IT_number 123
_space_group_name_Hall '-P 4 2'
_cell_length_a 4.0822
_cell_length_b 4.0822
_cell_length_c 8.2426
_cell_angle_alpha 90.00
_cell_angle_beta 90.00
_cell_angle_gamma 90.00
loop_
_atom_site_label
_atom_site_fract_x
_atom_site_fract_y
_atom_site_fract_z
Hg1 0.0000 0.0000 0.0000
Bi1 0.0000 0.0000 0.5000
H1 0.5000 0.5000 0.2513
Pd1 0.0000 0.5000 0.2432
Pd2 0.5000 0.5000 0.5000
```

=====

Entry 4:
## HgBi2HPd (PBE-GGA)

Data for an optimized crystal structure of HgBi2HPd.

Output
Total magnetic moment ... 0.00 μB/f.u.
Density ... 11.017 Mg/m³
DOS at the Fermi energy ... 2.4 states/eV/f.u.
Total energy ... -3.2969 eV per atom

Structure (CIF):
```
data_HgBi2HPd
_chemical_formula_sum 'Hg1 Bi2 H1 Pd1'
_space_group_name_H-M_alt 'P 4/m m m'
_space_group_IT_number 123
_space_group_name_Hall '-P 4 2'
_cell_length_a 5.6271
_cell_length_b 5.6271
_cell_length_c 3.4558
_cell_angle_alpha 90.00
_cell_angle_beta 90.00
_cell_angle_gamma 90.00
loop_
_atom_site_label
_atom_site_fract_x
_atom_site_fract_y
_atom_site_fract_z
Hg1 0.0000 0.0000 0.0000
Bi1 0.0000 0.5000 0.5000
H1 0.5000 0.5000 0.0000
Pd1 0.5000 0.5000 0.5000
```

=====

Entry 5:
## HgBi2H3Pd8 (PBE-GGA)

Data for an optimized crystal structure of HgBi2H3Pd8.

Output
Total magnetic moment ... 0.00 μB/f.u.
Density ... 11.502 Mg/m³
DOS at the Fermi energy ... 7.4 states/eV/f.u.
Total energy ... -4.3594 eV per atom

Structure (CIF):
```
data_HgBi2H3Pd8
_chemical_formula_sum 'Hg3 Bi6 H9 Pd24'
_space_group_name_H-M_alt 'R 3 m'
_space_group_IT_number 160
_space_group_name_Hall 'R 3 -2"'
_cell_length_a 5.8258
_cell_length_b 5.8258
_cell_length_c 21.7045
_cell_angle_alpha 90.00
_cell_angle_beta 90.00
_cell_angle_gamma 120.00
loop_
_atom_site_label
_atom_site_fract_x
_atom_site_fract_y
_atom_site_fract_z
Hg1 0.0000 0.0000 0.0000
Bi1 0.0000 0.0000 0.3143
Bi2 0.0000 0.0000 0.6579
H1 0.1729 0.3458 0.4798
Pd1 0.0000 0.0000 0.4413
Pd2 0.0000 0.0000 0.8768
Pd3 0.1679 0.3357 0.2154
Pd4 0.1687 0.3374 0.7714
```

=====

Entry 6:
## Hg2BiHPd (PBE-GGA)

Data for an optimized crystal structure of Hg2BiHPd.

Output
Total magnetic moment ... 0.00 μB/f.u.
Density ... 11.918 Mg/m³
DOS at the Fermi energy ... 2.0 states/eV/f.u.
Total energy ... -2.4378 eV per atom

Structure (CIF):
```
data_Hg2BiHPd
_chemical_formula_sum 'Hg2 Bi1 H1 Pd1'
_space_group_name_H-M_alt 'P 4/m m m'
_space_group_IT_number 123
_space_group_name_Hall '-P 4 2'
_cell_length_a 5.4268
_cell_length_b 5.4268
_cell_length_c 3.3950
_cell_angle_alpha 90.00
_cell_angle_beta 90.00
_cell_angle_gamma 90.00
loop_
_atom_site_label
_atom_site_fract_x
_atom_site_fract_y
_atom_site_fract_z
Hg1 0.0000 0.5000 0.0000
Bi1 0.0000 0.0000 0.5000
H1 0.5000 0.5000 0.0000
Pd1 0.5000 0.5000 0.5000
```

=====

Copy entry 4 word for word.
## HgBi2HPd (PBE-GGA)

Data for an optimized crystal structure of HgBi2HPd.

Output
Total magnetic moment ... 0.00 μB/f.u.
Density ... 11.017 Mg/m³
DOS at the Fermi energy ... 2.4 states/eV/f.u.
Total energy ... -3.2969 eV per atom

Structure (CIF):
```
data_HgBi2HPd
_chemical_formula_sum 'Hg1 Bi2 H1 Pd1'
_space_group_name_H-M_alt 'P 4/m m m'
_space_group_IT_number 123
_space_group_name_Hall '-P 4 2'
_cell_length_a 5.6271
_cell_length_b 5.6271
_cell_length_c 3.4558
_cell_angle_alpha 90.00
_cell_angle_beta 90.00
_cell_angle_gamma 90.00
loop_
_atom_site_label
_atom_site_fract_x
_atom_site_fract_y
_atom_site_fract_z
Hg1 0.0000 0.0000 0.0000
Bi1 0.0000 0.5000 0.5000
H1 0.5000 0.5000 0.0000
Pd1 0.5000 0.5000 0.5000
```

=====

What did the fifth record say?
## HgBi2H3Pd8 (PBE-GGA)

Data for an optimized crystal structure of HgBi2H3Pd8.

Output
Total magnetic moment ... 0.00 μB/f.u.
Density ... 11.502 Mg/m³
DOS at the Fermi energy ... 7.4 states/eV/f.u.
Total energy ... -4.3594 eV per atom

Structure (CIF):
```
data_HgBi2H3Pd8
_chemical_formula_sum 'Hg3 Bi6 H9 Pd24'
_space_group_name_H-M_alt 'R 3 m'
_space_group_IT_number 160
_space_group_name_Hall 'R 3 -2"'
_cell_length_a 5.8258
_cell_length_b 5.8258
_cell_length_c 21.7045
_cell_angle_alpha 90.00
_cell_angle_beta 90.00
_cell_angle_gamma 120.00
loop_
_atom_site_label
_atom_site_fract_x
_atom_site_fract_y
_atom_site_fract_z
Hg1 0.0000 0.0000 0.0000
Bi1 0.0000 0.0000 0.3143
Bi2 0.0000 0.0000 0.6579
H1 0.1729 0.3458 0.4798
Pd1 0.0000 0.0000 0.4413
Pd2 0.0000 0.0000 0.8768
Pd3 0.1679 0.3357 0.2154
Pd4 0.1687 0.3374 0.7714
```

=====

What is the total magnetic moment in the fifth record? 0.00 μB/f.u.